1.
Entry from Alexandria via LeMat-Bulk: an optimized crystal structure of VZnSe2N (GGA-PBE).

a = 4.992 Å, b = 4.992 Å, c = 3.602 Å
α = 90.00°, β = 90.00°, γ = 90.00°
Space group P4/mmm (No. 123)
Inequivalent atoms, fractional coordinates:
V  0.000  0.000  0.000 (multiplicity 1)
Zn  0.500  0.500  0.500 (multiplicity 1)
Se  0.000  0.500  0.500 (multiplicity 2)
N  0.500  0.500  0.000 (multiplicity 1)

Formation energy from raw total energies in eV/f.u.: 5.26
ΔE to the lowest computed polymorph in meV/atom: 1006
Magnetization in μB/atom: 0.056


2.
Entry from Alexandria via LeMat-Bulk: an optimized crystal structure of ZrVSe2N (GGA-PBE).

a = 5.293 Å, b = 5.293 Å, c = 3.991 Å
α = 90.00°, β = 90.00°, γ = 90.00°
Space group P4/mmm (No. 123)
Inequivalent atoms, fractional coordinates:
Zr  0.000  0.000  0.000 (multiplicity 1)
V  0.500  0.500  0.500 (multiplicity 1)
Se  0.000  0.500  0.000 (multiplicity 2)
N  0.000  0.000  0.500 (multiplicity 1)

Formation energy from raw total energies in eV/f.u.: 1.67
ΔE to the lowest computed polymorph in meV/atom: 673
Magnetization in μB/atom: 0.001


3.
Entry from Alexandria via LeMat-Bulk: an optimized crystal structure of ZrVSeN2 (GGA-PBE).

a = 3.833 Å, b = 3.833 Å, c = 4.865 Å
α = 90.00°, β = 90.00°, γ = 90.00°
Space group P4/mmm (No. 123)
Inequivalent atoms, fractional coordinates:
Zr  0.000  0.000  0.000 (multiplicity 1)
V  0.500  0.500  0.500 (multiplicity 1)
Se  0.500  0.500  0.000 (multiplicity 1)
N  0.000  0.500  0.500 (multiplicity 2)

Formation energy from raw total energies in eV/f.u.: -0.64
ΔE to the lowest computed polymorph in meV/atom: 0
Magnetization in μB/atom: 0.000


4.
Entry from Alexandria via LeMat-Bulk: an optimized crystal structure of ZrVSe2N (GGA-PBE).

a = 4.948 Å, b = 4.948 Å, c = 3.615 Å
α = 90.00°, β = 90.00°, γ = 90.00°
Space group P4/mmm (No. 123)
Inequivalent atoms, fractional coordinates:
Zr  0.000  0.000  0.000 (multiplicity 1)
V  0.500  0.500  0.500 (multiplicity 1)
Se  0.000  0.500  0.500 (multiplicity 2)
N  0.500  0.500  0.000 (multiplicity 1)

Formation energy from raw total energies in eV/f.u.: -1.69
ΔE to the lowest computed polymorph in meV/atom: 0
Magnetization in μB/atom: 0.000


5.
Entry from Alexandria via LeMat-Bulk: an optimized crystal structure of ZrVSeN2 (GGA-PBE).

a = 4.088 Å, b = 4.088 Å, c = 5.479 Å
α = 90.00°, β = 90.00°, γ = 90.00°
Space group P4/mmm (No. 123)
Inequivalent atoms, fractional coordinates:
Zr  0.000  0.000  0.000 (multiplicity 1)
V  0.500  0.500  0.500 (multiplicity 1)
Se  0.000  0.000  0.500 (multiplicity 1)
N  0.000  0.500  0.000 (multiplicity 2)

Formation energy from raw total energies in eV/f.u.: 3.00
ΔE to the lowest computed polymorph in meV/atom: 729
Magnetization in μB/atom: 0.097


6.
Entry from Alexandria via LeMat-Bulk: an optimized crystal structure of WSeN3 (GGA-PBE).

a = 3.981 Å, b = 3.981 Å, c = 3.981 Å
α = 90.00°, β = 90.00°, γ = 90.00°
Space group Pm-3m (No. 221)
Inequivalent atoms, fractional coordinates:
W  0.000  0.000  0.000 (multiplicity 1)
Se  0.500  0.500  0.500 (multiplicity 1)
N  0.000  0.000  0.500 (multiplicity 3)

Formation energy from raw total energies in eV/f.u.: 5.14
Magnetization in μB/atom: 0.000